# 1
SrBeCrCu2: relaxed, PBE.

Calculated values
DOS at the Fermi energy: 2.5 states/eV/f.u.
Density: 2.6 g cm⁻³
Energy relative to the elements: 2048 meV per atom

```
data_SrBeCrCu2
_symmetry_space_group_name_H-M 'P 1'
_symmetry_Int_Tables_number 1
_symmetry_space_group_name_Hall 'P 1'
_cell_length_a 5.371
_cell_length_b 6.036
_cell_length_c 5.371
_cell_angle_alpha 90.00
_cell_angle_beta 90.00
_cell_angle_gamma 90.00
loop_
_atom_site_label
_atom_site_fract_x
_atom_site_fract_y
_atom_site_fract_z
Sr1 0.000 0.000 0.000
Be1 0.500 0.500 0.500
Cu1 0.000 0.000 0.500
Cu2 0.500 0.000 0.000
Cr1 0.000 0.500 0.000
```

=====

# 2
Ti2BeCrCu: relaxed, PBE.

Calculated values
DOS at the Fermi energy: 3.3 states/eV/f.u.
Density: 4.3 g cm⁻³
Energy relative to the elements: 916 meV per atom

```
data_Ti2BeCrCu
_symmetry_space_group_name_H-M 'P 1'
_symmetry_Int_Tables_number 1
_symmetry_space_group_name_Hall 'P 1'
_cell_length_a 4.302
_cell_length_b 4.572
_cell_length_c 4.302
_cell_angle_alpha 90.00
_cell_angle_beta 90.00
_cell_angle_gamma 90.00
loop_
_atom_site_label
_atom_site_fract_x
_atom_site_fract_y
_atom_site_fract_z
Cr1 0.000 0.000 0.000
Be1 0.500 0.500 0.500
Cu1 0.000 0.500 0.000
Ti1 0.000 0.000 0.500
Ti2 0.500 0.000 0.000
```

=====

# 3
BeCrCuW2: relaxed, PBE.

Calculated values
DOS at the Fermi energy: 5.6 states/eV/f.u.
Density: 9.4 g cm⁻³
Energy relative to the elements: 1782 meV per atom

```
data_BeCrCuW2
_symmetry_space_group_name_H-M 'P 1'
_symmetry_Int_Tables_number 1
_symmetry_space_group_name_Hall 'P 1'
_cell_length_a 4.437
_cell_length_b 4.404
_cell_length_c 4.437
_cell_angle_alpha 90.00
_cell_angle_beta 90.00
_cell_angle_gamma 90.00
loop_
_atom_site_label
_atom_site_fract_x
_atom_site_fract_y
_atom_site_fract_z
Cr1 0.000 0.000 0.000
Cu1 0.000 0.500 0.000
W1 0.000 0.000 0.500
W2 0.500 0.000 0.000
Be1 0.500 0.500 0.500
```

=====

# 4
Dy3BeCrS7: relaxed, PBE.

Calculated values
Formation energy (no corrections): -1.5833 eV/atom
Density: 5.4 g cm⁻³

```
data_Dy3BeCrS7
_symmetry_space_group_name_H-M 'P 1'
_symmetry_Int_Tables_number 1
_symmetry_space_group_name_Hall 'P 1'
_cell_length_a 9.552
_cell_length_b 9.552
_cell_length_c 6.052
_cell_angle_alpha 90.00
_cell_angle_beta 90.00
_cell_angle_gamma 120.00
loop_
_atom_site_label
_atom_site_fract_x
_atom_site_fract_y
_atom_site_fract_z
Dy1 0.762 0.156 0.228
Dy2 0.395 0.238 0.228
Dy3 0.844 0.605 0.228
Dy4 0.238 0.844 0.728
Dy5 0.605 0.762 0.728
Dy6 0.156 0.395 0.728
Be1 0.667 0.333 0.640
Be2 0.333 0.667 0.140
Cr1 0.000 0.000 0.058
Cr2 0.000 0.000 0.558
S1 0.868 0.096 0.813
S2 0.227 0.132 0.813
S3 0.904 0.773 0.813
S4 0.132 0.904 0.313
S5 0.773 0.868 0.313
S6 0.096 0.227 0.313
S7 0.900 0.422 0.507
S8 0.523 0.100 0.507
S9 0.578 0.477 0.507
S10 0.100 0.578 0.007
S11 0.477 0.900 0.007
S12 0.422 0.523 0.007
S13 0.667 0.333 0.989
S14 0.333 0.667 0.489
```

=====

# 5
ErBe17Cr: relaxed, PBE.

Calculated values
DOS at the Fermi energy: 5.3 states/eV/f.u.
Density: 3.5 g cm⁻³
Energy relative to the elements: -74 meV per atom

```
data_ErBe17Cr
_symmetry_space_group_name_H-M 'P 1'
_symmetry_Int_Tables_number 1
_symmetry_space_group_name_Hall 'P 1'
_cell_length_a 5.640
_cell_length_b 5.640
_cell_length_c 5.640
_cell_angle_alpha 83.05
_cell_angle_beta 83.05
_cell_angle_gamma 83.05
loop_
_atom_site_label
_atom_site_fract_x
_atom_site_fract_y
_atom_site_fract_z
Er1 0.660 0.660 0.660
Be1 0.288 0.006 0.706
Be2 0.706 0.288 0.006
Be3 0.006 0.706 0.288
Be4 0.288 0.706 0.006
Be5 0.006 0.288 0.706
Be6 0.706 0.006 0.288
Be7 0.340 0.854 0.340
Be8 0.340 0.340 0.854
Be9 0.854 0.340 0.340
Be10 0.652 0.163 0.652
Be11 0.652 0.652 0.163
Be12 0.163 0.652 0.652
Be13 0.999 0.502 0.999
Be14 0.999 0.999 0.502
Be15 0.502 0.999 0.999
Be16 0.907 0.907 0.907
Be17 0.102 0.102 0.102
Cr1 0.331 0.331 0.331
```